# 1
## K4CeCl7 (PBE-GGA)

Data for a relaxed K4CeCl7 crystal.

a b c (Å): 10.718 10.718 8.652
angles (deg): 104.99 104.99 29.38
Element x y z (fractional)
K  0.079  0.079  0.214
K  0.223  0.223  0.784
K  0.777  0.777  0.216
K  0.921  0.921  0.786
Ce  0.500  0.500  0.500
Cl  0.000  0.000  0.500
Cl  0.207  0.207  0.128
Cl  0.370  0.370  0.526
Cl  0.466  0.466  0.174
Cl  0.534  0.534  0.826
Cl  0.630  0.630  0.474
Cl  0.793  0.793  0.872

## Properties
D(E_F): 7.05 states/eV per cell
formation energy (no corrections): -1.964 eV/atom
volume: 470 Å³ per cell
symmetry: No. 12

***

# 2
## K5Ce2Cl12 (PBE-GGA)

Data for a relaxed K5Ce2Cl12 crystal.

a b c (Å): 9.723 9.723 10.016
angles (deg): 110.94 110.94 51.57
Element x y z (fractional)
K  0.000  0.000  0.000
K  0.274  0.274  0.084
K  0.328  0.328  0.720
K  0.672  0.672  0.280
K  0.726  0.726  0.916
Ce  0.250  0.750  0.500
Ce  0.750  0.250  0.500
Cl  0.023  0.023  0.687
Cl  0.102  0.582  0.442
Cl  0.111  0.607  0.951
Cl  0.393  0.889  0.049
Cl  0.418  0.898  0.558
Cl  0.482  0.482  0.311
Cl  0.518  0.518  0.689
Cl  0.582  0.102  0.442
Cl  0.607  0.111  0.951
Cl  0.889  0.393  0.049
Cl  0.898  0.418  0.558
Cl  0.977  0.977  0.313

## Properties
D(E_F): 18.22 states/eV per cell
formation energy (no corrections): -1.973 eV/atom
volume: 681 Å³ per cell
symmetry: No. 12

***

# 3
## KCeCl4 (PBE-GGA)

Data for a relaxed KCeCl4 crystal.

a b c (Å): 7.654 4.357 19.333
angles (deg): 90.00 90.00 90.00
Element x y z (fractional)
K  0.213  0.250  0.206
K  0.287  0.750  0.706
K  0.713  0.250  0.294
K  0.787  0.750  0.794
Ce  0.248  0.750  0.438
Ce  0.252  0.250  0.938
Ce  0.748  0.750  0.062
Ce  0.752  0.250  0.562
Cl  0.009  0.250  0.063
Cl  0.091  0.250  0.362
Cl  0.092  0.250  0.803
Cl  0.143  0.250  0.536
Cl  0.357  0.750  0.036
Cl  0.408  0.750  0.303
Cl  0.409  0.750  0.862
Cl  0.491  0.750  0.563
Cl  0.509  0.250  0.437
Cl  0.591  0.250  0.138
Cl  0.592  0.250  0.697
Cl  0.643  0.250  0.964
Cl  0.857  0.750  0.464
Cl  0.908  0.750  0.197
Cl  0.909  0.750  0.638
Cl  0.991  0.750  0.937

## Properties
D(E_F): 29.91 states/eV per cell
formation energy (no corrections): -2.146 eV/atom
volume: 645 Å³ per cell
symmetry: No. 62
offset from the most stable computed form: 0.000 eV per formula unit

***

# 4
## KCeCl2 (PBE-GGA)

Data for a relaxed KCeCl2 crystal.

a b c (Å): 3.887 3.887 30.226
angles (deg): 90.00 90.00 120.00
Element x y z (fractional)
K  0.000  0.000  0.000
K  0.333  0.667  0.667
K  0.667  0.333  0.333
Ce  0.000  0.000  0.500
Ce  0.333  0.667  0.167
Ce  0.667  0.333  0.833
Cl  0.000  0.000  0.104
Cl  0.000  0.000  0.896
Cl  0.333  0.667  0.563
Cl  0.333  0.667  0.771
Cl  0.667  0.333  0.229
Cl  0.667  0.333  0.437

## Properties
D(E_F): 17.79 states/eV per cell
formation energy (no corrections): -1.436 eV/atom
volume: 395 Å³ per cell
symmetry: No. 166

***

# 5
## KCe3Cl8 (PBE-GGA)

Data for a relaxed KCe3Cl8 crystal.

a b c (Å): 9.133 9.133 9.133
angles (deg): 51.99 51.99 51.99
Element x y z (fractional)
K  0.000  0.000  0.000
Ce  0.000  0.000  0.500
Ce  0.000  0.500  0.000
Ce  0.500  0.000  0.000
Cl  0.229  0.740  0.740
Cl  0.240  0.240  0.240
Cl  0.260  0.260  0.771
Cl  0.260  0.771  0.260
Cl  0.740  0.229  0.740
Cl  0.740  0.740  0.229
Cl  0.760  0.760  0.760
Cl  0.771  0.260  0.260

## Properties
D(E_F): 21.75 states/eV per cell
formation energy (no corrections): -2.022 eV/atom
volume: 437 Å³ per cell
symmetry: No. 166

***

# 6
## KCe2Cl8 (PBE-GGA)

Data for a relaxed KCe2Cl8 crystal.

a b c (Å): 7.680 7.680 5.486
angles (deg): 95.60 95.60 111.88
Element x y z (fractional)
K  0.000  0.000  0.000
Ce  0.319  0.681  0.500
Ce  0.681  0.319  0.500
Cl  0.055  0.329  0.577
Cl  0.258  0.742  0.000
Cl  0.329  0.055  0.577
Cl  0.399  0.399  0.222
Cl  0.601  0.601  0.778
Cl  0.671  0.945  0.423
Cl  0.742  0.258  0.000
Cl  0.945  0.671  0.423

## Properties
D(E_F): 11.16 states/eV per cell
formation energy (no corrections): -2.067 eV/atom
volume: 296 Å³ per cell
symmetry: No. 12

***

# 7
## KCeCl4 (PBE-GGA)

Data for a relaxed KCeCl4 crystal.

a b c (Å): 8.249 8.249 7.083
angles (deg): 108.79 108.79 109.45
Element x y z (fractional)
K  0.140  0.860  0.750
K  0.860  0.140  0.250
Ce  0.491  0.509  0.250
Ce  0.509  0.491  0.750
Cl  0.170  0.286  0.787
Cl  0.239  0.557  0.437
Cl  0.286  0.170  0.287
Cl  0.443  0.761  0.063
Cl  0.557  0.239  0.937
Cl  0.714  0.830  0.713
Cl  0.761  0.443  0.563
Cl  0.830  0.714  0.213

## Properties
D(E_F): 11.06 states/eV per cell
formation energy (no corrections): -2.094 eV/atom
volume: 377 Å³ per cell
symmetry: No. 15
offset from the most stable computed form: 0.309 eV per formula unit

***

# 8
## K2Ce3Cl8 (PBE-GGA)

Data for a relaxed K2Ce3Cl8 crystal.

a b c (Å): 9.060 9.060 6.717
angles (deg): 102.82 102.82 53.21
Element x y z (fractional)
K  0.236  0.236  0.166
K  0.764  0.764  0.834
Ce  0.273  0.727  0.500
Ce  0.500  0.500  0.000
Ce  0.727  0.273  0.500
Cl  0.098  0.098  0.413
Cl  0.148  0.622  0.099
Cl  0.377  0.377  0.597
Cl  0.378  0.852  0.901
Cl  0.622  0.148  0.099
Cl  0.623  0.623  0.403
Cl  0.852  0.378  0.901
Cl  0.902  0.902  0.587

## Properties
D(E_F): 15.26 states/eV per cell
formation energy (no corrections): -1.959 eV/atom
volume: 428 Å³ per cell
symmetry: No. 12

***

> What is the formula in the fourth record?

KCeCl2

***

> Look up the D(E_F) of the third one.

29.91 states/eV per cell

***

> What is the volume in the second record?

681 Å³ per cell

***

> Which formula does entry 8 have?

K2Ce3Cl8